{"formula": "Ca3Mg2Rh", "functional": "PBE-GGA", "state": "optimized geometry", "dft_energy_ev_per_cell": -35.3, "cell": [[5.1611, -4.5036, 0.0000], [5.1611, 4.5036, 0.0000], [-3.4502, 0.0000, 7.3527]], "species": ["Ca", "Ca", "Ca", "Ca", "Ca", "Ca", "Mg", "Mg", "Mg", "Mg", "Rh", "Rh"], "frac_coords": [[0.0279, 0.9721, 0.7500], [0.2762, 0.4738, 0.0272], [0.4738, 0.2762, 0.5272], [0.5262, 0.7238, 0.4728], [0.7238, 0.5262, 0.9728], [0.9721, 0.0279, 0.2500], [0.0385, 0.5695, 0.3717], [0.4305, 0.9615, 0.1283], [0.5695, 0.0385, 0.8717], [0.9615, 0.4305, 0.6283], [0.3327, 0.6673, 0.7500], [0.6673, 0.3327, 0.2500]]}

---

{"formula": "CaMg3Rh2", "functional": "PBE-GGA", "state": "optimized geometry", "dft_energy_ev_per_cell": -46.9, "cell": [[7.9849, -2.0942, 0.0000], [7.9849, 2.0942, 0.0000], [-4.6507, 0.0000, 7.2619]], "species": ["Ca", "Ca", "Mg", "Mg", "Mg", "Mg", "Mg", "Mg", "Rh", "Rh", "Rh", "Rh"], "frac_coords": [[0.1306, 0.1306, 0.1311], [0.8694, 0.8694, 0.8689], [0.0008, 0.0008, 0.6635], [0.3324, 0.3324, 0.1365], [0.3330, 0.3330, 0.5283], [0.6670, 0.6670, 0.4717], [0.6676, 0.6676, 0.8635], [0.9992, 0.9992, 0.3365], [0.1928, 0.1928, 0.6929], [0.4999, 0.4999, 0.1476], [0.5001, 0.5001, 0.8524], [0.8072, 0.8072, 0.3071]]}

---

{"formula": "Ca2MgRh", "functional": "PBE-GGA", "state": "optimized geometry", "dft_energy_ev_per_cell": -13.9, "cell": [[6.2949, -1.7281, 0.0000], [6.2949, 1.7281, 0.0000], [-2.1659, 0.0000, 4.7613]], "species": ["Ca", "Ca", "Mg", "Rh"], "frac_coords": [[0.0000, 0.0000, 0.0000], [0.1931, 0.1931, 0.6924], [0.3777, 0.3777, 0.3781], [0.7039, 0.7039, 0.2023]]}